(1)
# PBE Tl2SiAg, relaxed
data_Tl2SiAg
_chemical_formula_sum 'Tl2 Si1 Ag1'
_cell_length_a 7.458
_cell_length_b 5.335
_cell_length_c 3.331
_cell_angle_alpha 87.46
_cell_angle_beta 67.45
_cell_angle_gamma 125.40
_space_group_name_H-M_alt 'P 1'
_space_group_IT_number 1
loop_
_space_group_symop_operation_xyz
'x,y,z'
loop_
_atom_site_label
_atom_site_type_symbol
_atom_site_fract_x
_atom_site_fract_y
_atom_site_fract_z
Tl1 Tl 0.000 0.000 0.000
Si1 Si 0.500 0.500 0.000
Ag1 Ag 0.000 0.500 0.500
Tl2 Tl 0.500 0.000 0.500
# Energy relative to the elements, uncorrected ... 0.41 eV/atom
# V ... 93.3 Å³/cell
# Polymorph energy (0 for the lowest one) ... 0.148 eV per atom
# Uncorrected energy ... -11.4 eV per cell


(2)
# PBE PmZrSn, relaxed
data_PmZrSn
_chemical_formula_sum 'Pm1 Zr1 Sn1'
_cell_length_a 3.202
_cell_length_b 5.203
_cell_length_c 5.203
_cell_angle_alpha 120.00
_cell_angle_beta 90.00
_cell_angle_gamma 90.00
_space_group_name_H-M_alt 'P 1'
_space_group_IT_number 1
loop_
_space_group_symop_operation_xyz
'x,y,z'
loop_
_atom_site_label
_atom_site_type_symbol
_atom_site_fract_x
_atom_site_fract_y
_atom_site_fract_z
Zr1 Zr 0.164 0.000 0.000
Sn1 Sn 0.669 0.667 0.333
Pm1 Pm 0.167 0.333 0.667
# V ... 75.1 Å³/cell
# Polymorph energy (0 for the lowest one) ... 0.539 eV per atom
# Uncorrected energy ... -17.4 eV per cell


Q: Among the records above, which one has the highest uncorrected energy?
A: Tl2SiAg


What did the first record say?
# PBE Tl2SiAg, relaxed
data_Tl2SiAg
_chemical_formula_sum 'Tl2 Si1 Ag1'
_cell_length_a 7.458
_cell_length_b 5.335
_cell_length_c 3.331
_cell_angle_alpha 87.46
_cell_angle_beta 67.45
_cell_angle_gamma 125.40
_space_group_name_H-M_alt 'P 1'
_space_group_IT_number 1
loop_
_space_group_symop_operation_xyz
'x,y,z'
loop_
_atom_site_label
_atom_site_type_symbol
_atom_site_fract_x
_atom_site_fract_y
_atom_site_fract_z
Tl1 Tl 0.000 0.000 0.000
Si1 Si 0.500 0.500 0.000
Ag1 Ag 0.000 0.500 0.500
Tl2 Tl 0.500 0.000 0.500
# Energy relative to the elements, uncorrected ... 0.41 eV/atom
# V ... 93.3 Å³/cell
# Polymorph energy (0 for the lowest one) ... 0.148 eV per atom
# Uncorrected energy ... -11.4 eV per cell


Q: What is the formula in the first record?
A: Tl2SiAg


Q: The highest polymorph energy (0 for the lowest one) belongs to which entry?
A: PmZrSn